1.
Entry from Alexandria: crystalline NpTa2AlC4 at its relaxed geometry (PBE).

Calculated values
density of states at the Fermi level	0.882	states/eV per atom
formation energy	-0.176	eV per atom

Cell lengths 3.226, 10.921, 11.124 Å; angles 90.00, 90.00, 90.00 degrees
Space group Cmcm (No. 63)
Symmetry-distinct sites (fractional):
Np1 0.000 0.113 0.250
Ta1 0.000 0.369 0.042
Al1 0.000 0.152 0.750
C1 0.000 0.000 0.000
C2 0.000 0.266 0.615
C3 0.000 0.452 0.250

=====

2.
Entry from Alexandria: crystalline AlC2O at its relaxed geometry (PBE).

Calculated values
density of states at the Fermi level	0.472	states/eV per atom
energy above the lowest structure with this stoichiometry	0.0	meV per atom
raw formation energy	1.4072	eV/atom

Cell lengths 4.359, 4.359, 8.728 Å; angles 90.00, 90.00, 90.00 degrees
Space group I-42d (No. 122)
Symmetry-distinct sites (fractional):
Al1 0.000 0.000 0.000
C1 0.214 0.250 0.625
O1 0.000 0.000 0.500

=====

3.
Entry from Alexandria: crystalline Al2CO at its relaxed geometry (PBE).

Calculated values
density of states at the Fermi level	0.000	states/eV per atom
raw formation energy	-1.2355	eV/atom

Cell lengths 4.448, 4.448, 9.248 Å; angles 90.00, 90.00, 90.00 degrees
Space group I-42d (No. 122)
Symmetry-distinct sites (fractional):
Al1 0.239 0.250 0.125
C1 0.000 0.000 0.000
O1 0.000 0.000 0.500

=====

4.
Entry from Alexandria: crystalline Al2CO6 at its relaxed geometry (PBE).

Calculated values
density of states at the Fermi level	0.510	states/eV per atom
raw formation energy	-1.1761	eV/atom

Cell lengths 4.251, 4.251, 8.125 Å; angles 90.00, 90.00, 90.00 degrees
Space group P4_2/mnm (No. 136)
Symmetry-distinct sites (fractional):
Al1 0.000 0.000 0.168
C1 0.000 0.000 0.500
O1 0.183 0.183 0.353
O2 0.220 0.220 0.000

=====

5.
Entry from Alexandria: crystalline Al2CO at its relaxed geometry (PBE).

Calculated values
density of states at the Fermi level	0.068	states/eV per atom
raw formation energy	-1.0693	eV/atom

Cell lengths 3.2463, 3.2463, 15.2813 Å; angles 90.00, 90.00, 120.00 degrees
Space group R3m (No. 160, hexagonal axes)
Symmetry-distinct sites (fractional):
Al1 0.0000 0.0000 0.0000
Al2 0.0000 0.0000 0.4860
C1 0.0000 0.0000 0.3629
O1 0.0000 0.0000 0.8656

=====

6.
Entry from Alexandria: crystalline Al6CO7 at its relaxed geometry (PBE).

Calculated values
density of states at the Fermi level	0.241	states/eV per atom
raw formation energy	-2.2938	eV/atom

Cell lengths 3.0445, 3.0445, 57.6026 Å; angles 90.00, 90.00, 120.00 degrees
Space group R3m (No. 160, hexagonal axes)
Symmetry-distinct sites (fractional):
Al1 0.0000 0.0000 0.0000
Al2 0.0000 0.0000 0.0937
Al3 0.0000 0.0000 0.3832
Al4 0.0000 0.0000 0.4934
Al5 0.0000 0.0000 0.6162
Al6 0.0000 0.0000 0.8783
C1 0.0000 0.0000 0.0600
O1 0.0000 0.0000 0.1486
O2 0.0000 0.0000 0.3468
O3 0.0000 0.0000 0.4366
O4 0.0000 0.0000 0.5552
O5 0.0000 0.0000 0.6473
O6 0.0000 0.0000 0.8483
O7 0.0000 0.0000 0.9411

=====

7.
Entry from Alexandria: crystalline AlCO3 at its relaxed geometry (PBE).

Calculated values
density of states at the Fermi level	0.435	states/eV per atom
raw formation energy	0.1763	eV/atom

Cell lengths 3.600, 3.600, 3.600 Å; angles 90.00, 90.00, 90.00 degrees
Space group Pm-3m (No. 221)
Symmetry-distinct sites (fractional):
Al1 0.000 0.000 0.000
C1 0.500 0.500 0.500
O1 0.000 0.000 0.500

=====

8.
Entry from Alexandria: crystalline Al3C2O at its relaxed geometry (PBE).

Calculated values
density of states at the Fermi level	0.462	states/eV per atom
raw formation energy	-0.6164	eV/atom

Cell lengths 5.646, 9.687, 5.585 Å; angles 90.00, 112.46, 90.00 degrees
Space group Cc (No. 9)
Symmetry-distinct sites (fractional):
Al1 0.000 0.080 0.000
Al2 0.010 0.253 0.495
Al3 0.010 0.415 0.001
C1 0.128 0.244 0.884
C2 0.130 0.420 0.381
O1 0.130 0.081 0.378

=====

9.
Entry from Alexandria: crystalline Al2CO at its relaxed geometry (PBE).

Calculated values
density of states at the Fermi level	0.122	states/eV per atom
raw formation energy	0.0100	eV/atom

Cell lengths 5.311, 5.311, 5.311 Å; angles 90.00, 90.00, 90.00 degrees
Space group Fm-3m (No. 225)
Symmetry-distinct sites (fractional):
Al1 0.250 0.250 0.250
C1 0.000 0.000 0.000
O1 0.000 0.000 0.500

=====

10.
Entry from Alexandria: crystalline Al4CO4 at its relaxed geometry (PBE).

Calculated values
density of states at the Fermi level	0.000	states/eV per atom
raw formation energy	-2.2862	eV/atom

Cell lengths 5.786, 8.613, 9.181 Å; angles 90.00, 90.00, 90.00 degrees
Space group Cmc2_1 (No. 36)
Symmetry-distinct sites (fractional):
Al1 0.000 0.063 0.000
Al2 0.000 0.398 0.920
Al3 0.229 0.337 0.210
C1 0.000 0.195 0.825
O1 0.000 0.196 0.155
O2 0.000 0.443 0.299
O3 0.244 0.065 0.534

=====

11.
Entry from Alexandria: crystalline Al2CO at its relaxed geometry (PBE).

Calculated values
density of states at the Fermi level	0.000	states/eV per atom
raw formation energy	-1.2521	eV/atom

Cell lengths 5.641, 6.314, 5.117 Å; angles 90.00, 90.00, 90.00 degrees
Space group Pna2_1 (No. 33)
Symmetry-distinct sites (fractional):
Al1 0.078 0.134 0.000
Al2 0.080 0.618 0.006
C1 0.101 0.624 0.384
O1 0.079 0.124 0.382

=====

12.
Entry from Alexandria: crystalline Al2CO at its relaxed geometry (PBE).

Calculated values
density of states at the Fermi level	0.000	states/eV per atom
raw formation energy	-1.1828	eV/atom

Cell lengths 3.4734, 3.4734, 4.0912 Å; angles 90.00, 90.00, 120.00 degrees
Space group P-6m2 (No. 187)
Symmetry-distinct sites (fractional):
Al1 0.0000 0.0000 0.0000
Al2 0.3333 0.6667 0.5000
C1 0.0000 0.0000 0.5000
O1 0.3333 0.6667 0.0000

=====

13.
Entry from Alexandria: crystalline AlC2O at its relaxed geometry (PBE).

Calculated values
density of states at the Fermi level	0.615	states/eV per atom
energy above the lowest structure with this stoichiometry	820.3	meV per atom
raw formation energy	2.2275	eV/atom

Cell lengths 5.267, 5.267, 5.267 Å; angles 90.00, 90.00, 90.00 degrees
Space group Fm-3m (No. 225)
Symmetry-distinct sites (fractional):
Al1 0.000 0.000 0.000
C1 0.250 0.250 0.250
O1 0.000 0.000 0.500

=====

14.
Entry from Alexandria: crystalline AlPCO2 at its relaxed geometry (PBE).

Calculated values
density of states at the Fermi level	0.455	states/eV per atom
energy above the lowest structure with this stoichiometry	520.4	meV per atom
raw formation energy	0.6795	eV/atom

Cell lengths 3.582, 3.582, 3.939 Å; angles 90.00, 90.00, 90.00 degrees
Space group P4/mmm (No. 123)
Symmetry-distinct sites (fractional):
Al1 0.000 0.000 0.000
P1 0.500 0.500 0.000
C1 0.500 0.500 0.500
O1 0.000 0.500 0.500

=====

15.
Entry from Alexandria: crystalline AlPCO2 at its relaxed geometry (PBE).

Calculated values
density of states at the Fermi level	0.466	states/eV per atom
energy above the lowest structure with this stoichiometry	0.0	meV per atom
raw formation energy	0.1591	eV/atom

Cell lengths 3.356, 3.356, 7.409 Å; angles 90.00, 90.00, 90.00 degrees
Space group P4/mmm (No. 123)
Symmetry-distinct sites (fractional):
Al1 0.000 0.000 0.000
P1 0.000 0.000 0.500
C1 0.500 0.500 0.500
O1 0.000 0.500 0.000

=====

16.
Entry from Alexandria: crystalline AlSbCO2 at its relaxed geometry (PBE).

Calculated values
density of states at the Fermi level	0.526	states/eV per atom
raw formation energy	0.6801	eV/atom

Cell lengths 4.121, 4.121, 3.779 Å; angles 90.00, 90.00, 90.00 degrees
Space group P4/mmm (No. 123)
Symmetry-distinct sites (fractional):
Al1 0.000 0.000 0.000
Sb1 0.500 0.500 0.000
C1 0.000 0.000 0.500
O1 0.000 0.500 0.500

=====

17.
Entry from Alexandria: crystalline Sc6Al2CO at its relaxed geometry (PBE).

Calculated values
density of states at the Fermi level	0.436	states/eV per atom
raw formation energy	-1.0662	eV/atom

Cell lengths 8.900, 8.900, 8.900 Å; angles 90.00, 90.00, 90.00 degrees
Space group Fm-3m (No. 225)
Symmetry-distinct sites (fractional):
Sc1 0.000 0.000 0.249
Al1 0.250 0.250 0.250
C1 0.000 0.000 0.000
O1 0.000 0.000 0.500

=====

18.
Entry from Alexandria: crystalline Tb6Al2CO at its relaxed geometry (PBE).

Calculated values
density of states at the Fermi level	0.311	states/eV per atom
raw formation energy	-0.9146	eV/atom

Cell lengths 9.664, 9.664, 9.664 Å; angles 90.00, 90.00, 90.00 degrees
Space group Fm-3m (No. 225)
Symmetry-distinct sites (fractional):
Tb1 0.000 0.000 0.249
Al1 0.250 0.250 0.250
C1 0.000 0.000 0.000
O1 0.000 0.000 0.500

=====

19.
Entry from Alexandria: crystalline TmAlCO at its relaxed geometry (PBE).

Calculated values
raw formation energy	-1.6991	eV/atom

Cell lengths 3.4047, 3.4047, 10.4352 Å; angles 90.00, 90.00, 120.00 degrees
Space group P6_3mc (No. 186)
Symmetry-distinct sites (fractional):
Tm1 0.3333 0.6667 0.0000
Al1 0.0000 0.0000 0.2812
C1 0.3333 0.6667 0.3538
O1 0.0000 0.0000 0.1070

=====

20.
Entry from Alexandria: crystalline Al3OsC at its relaxed geometry (PBE).

Calculated values
density of states at the Fermi level	0.468	states/eV per atom
energy above the lowest structure with this stoichiometry	1033.2	meV per atom
formation energy	1.291	eV per atom

Cell lengths 4.720, 4.720, 4.720 Å; angles 90.00, 90.00, 90.00 degrees
Space group Pm-3m (No. 221)
Symmetry-distinct sites (fractional):
Al1 0.000 0.000 0.500
Os1 0.000 0.000 0.000
C1 0.500 0.500 0.500

=====

21.
Entry from Alexandria: crystalline AlOsC3 at its relaxed geometry (PBE).

Calculated values
density of states at the Fermi level	1.302	states/eV per atom
energy above the lowest structure with this stoichiometry	884.2	meV per atom
formation energy	2.752	eV per atom

Cell lengths 3.813, 3.813, 3.813 Å; angles 90.00, 90.00, 90.00 degrees
Space group Pm-3m (No. 221)
Symmetry-distinct sites (fractional):
Al1 0.000 0.000 0.000
Os1 0.500 0.500 0.500
C1 0.000 0.000 0.500

=====

22.
Entry from Alexandria: crystalline AlOs3C at its relaxed geometry (PBE).

Calculated values
density of states at the Fermi level	0.969	states/eV per atom
energy above the lowest structure with this stoichiometry	0.0	meV per atom
formation energy	0.290	eV per atom

Cell lengths 4.049, 4.049, 4.049 Å; angles 90.00, 90.00, 90.00 degrees
Space group Pm-3m (No. 221)
Symmetry-distinct sites (fractional):
Al1 0.000 0.000 0.000
Os1 0.000 0.500 0.500
C1 0.500 0.500 0.500

=====

23.
Entry from Alexandria: crystalline Al3OsC at its relaxed geometry (PBE).

Calculated values
density of states at the Fermi level	0.468	states/eV per atom
energy above the lowest structure with this stoichiometry	0.0	meV per atom
formation energy	0.258	eV per atom

Cell lengths 4.001, 4.001, 4.001 Å; angles 90.00, 90.00, 90.00 degrees
Space group Pm-3m (No. 221)
Symmetry-distinct sites (fractional):
Al1 0.000 0.000 0.500
Os1 0.500 0.500 0.500
C1 0.000 0.000 0.000

=====

24.
Entry from Alexandria: crystalline AlOs3C at its relaxed geometry (PBE).

Calculated values
density of states at the Fermi level	0.857	states/eV per atom
energy above the lowest structure with this stoichiometry	2819.5	meV per atom
formation energy	3.109	eV per atom

Cell lengths 4.424, 4.424, 4.424 Å; angles 90.00, 90.00, 90.00 degrees
Space group Pm-3m (No. 221)
Symmetry-distinct sites (fractional):
Al1 0.000 0.000 0.000
Os1 0.000 0.000 0.500
C1 0.500 0.500 0.500